1.
Here is a crystal of Sc2HgBiBr relaxed with PBEsol from the Alexandria database. Energies are from SCAN.

Cell and atoms, written as extended XYZ:
```
5
Lattice="4.9421 0.0000 0.0000 0.0000 4.9421 0.0000 0.0000 0.0000 5.5963" Properties=species:S:1:pos:R:3 pbc="T T T"
Sc 0.0000 2.4711 0.0000
Sc 2.4711 0.0000 0.0000
Hg 0.0000 0.0000 2.7981
Bi 2.4711 2.4711 2.7981
Br 2.4711 2.4711 0.0000
```

Summary:
Volume (Å³ per cell): 137
Total energy (eV per cell): -193.73
Uncorrected formation energy (eV/atom): 0.189
M_tot (μB/f.u.): 0.0
Crystal system: tetragonal


2.
Here is a crystal of MgTlIn2 relaxed with PBEsol from the Alexandria database. Energies are from SCAN.

Cell and atoms, written as extended XYZ:
```
4
Lattice="3.3559 0.0000 0.0000 0.0000 4.5614 0.0000 -0.0157 0.0000 6.4912" Properties=species:S:1:pos:R:3 pbc="T T T"
Mg 0.0000 0.0000 0.0000
Tl -0.0079 0.0000 3.2456
In 1.6619 2.2807 4.9382
In 1.6783 2.2807 1.5531
```

Summary:
Volume (Å³ per cell): 99
Formation energy (eV per atom): -0.027
Total energy (eV per cell): -144.21
M_tot (μB/f.u.): 0.0
Crystal system: monoclinic


3.
Here is a crystal of NaZrNi3 relaxed with PBEsol from the Alexandria database. Energies are from SCAN.

Cell and atoms, written as extended XYZ:
```
5
Lattice="4.6241 0.0000 0.0000 0.0000 4.6241 0.0000 0.0000 0.0000 4.6241" Properties=species:S:1:pos:R:3 pbc="T T T"
Na 0.0000 0.0000 0.0000
Zr 2.3120 2.3120 2.3120
Ni 0.0000 2.3120 2.3120
Ni 2.3120 0.0000 2.3120
Ni 2.3120 2.3120 0.0000
```

Summary:
Volume (Å³ per cell): 99
Formation energy (eV per atom): 1.039
Total energy (eV per cell): -78.24
M_tot (μB/f.u.): 0.0
Crystal system: cubic


4.
Here is a crystal of Na2TlFe2 relaxed with PBEsol from the Alexandria database. Energies are from SCAN.

Cell and atoms, written as extended XYZ:
```
5
Lattice="-1.6103 1.6103 10.4279 1.6103 -1.6103 10.4279 1.6103 1.6103 -10.4279" Properties=species:S:1:pos:R:3 pbc="T T T"
Na 0.0000 0.0000 2.5735
Na 0.0000 0.0000 18.2823
Tl 0.0000 0.0000 10.4279
Fe 1.6103 0.0000 5.2140
Fe 0.0000 1.6103 5.2140
```

Summary:
Volume (Å³ per cell): 108
Formation energy (eV per atom): 0.391
Total energy (eV per cell): -115.09
M_tot (μB/f.u.): 5.4
Crystal system: tetragonal


5.
Here is a crystal of CoTc2Pt relaxed with PBEsol from the Alexandria database. Energies are from SCAN.

Cell and atoms, written as extended XYZ:
```
4
Lattice="2.6311 0.0000 0.0000 0.0000 3.7619 0.0000 0.0000 0.0000 5.3536" Properties=species:S:1:pos:R:3 pbc="T T T"
Co 0.0000 0.0000 0.0000
Tc 0.0000 0.0000 2.8019
Tc 1.3156 1.8809 4.1546
Pt 1.3156 1.8809 1.3712
```

Summary:
Volume (Å³ per cell): 53
Polymorph energy (0 for the lowest one) (meV per atom): 0
Formation energy (eV per atom): -0.023
Total energy (eV per cell): -157.71
M_tot (μB/f.u.): 1.6
Crystal system: orthorhombic


6.
Here is a crystal of CsAl3Fe relaxed with PBEsol from the Alexandria database. Energies are from SCAN.

Cell and atoms, written as extended XYZ:
```
5
Lattice="4.7431 0.0000 0.0000 0.0000 4.7431 0.0000 0.0000 0.0000 4.7431" Properties=species:S:1:pos:R:3 pbc="T T T"
Cs 0.0000 0.0000 0.0000
Al 0.0000 2.3716 2.3716
Al 2.3716 0.0000 2.3716
Al 2.3716 2.3716 0.0000
Fe 2.3716 2.3716 2.3716
```

Summary:
Volume (Å³ per cell): 107
Formation energy (eV per atom): 0.222
Total energy (eV per cell): -78.09
M_tot (μB/f.u.): 0.0
Crystal system: cubic


7.
Here is a crystal of Ba2HgAu relaxed with PBEsol from the Alexandria database. Energies are from SCAN.

Cell and atoms, written as extended XYZ:
```
4
Lattice="5.6703 0.0000 0.0000 0.0000 5.6703 0.0000 0.0000 0.0000 4.0242" Properties=species:S:1:pos:R:3 pbc="T T T"
Ba 0.0000 2.8351 0.0000
Ba 2.8351 0.0000 0.0000
Hg 0.0000 0.0000 2.0121
Au 2.8351 2.8351 2.0121
```

Summary:
Volume (Å³ per cell): 129
Formation energy (eV per atom): -0.735
Total energy (eV per cell): -219.36
M_tot (μB/f.u.): 0.0
Crystal system: tetragonal


8.
Here is a crystal of LaCo2Ru relaxed with PBEsol from the Alexandria database. Energies are from SCAN.

Cell and atoms, written as extended XYZ:
```
4
Lattice="2.9917 0.0000 0.0000 0.0000 2.9917 0.0000 0.0000 0.0000 6.9419" Properties=species:S:1:pos:R:3 pbc="T T T"
La 0.0000 0.0000 0.0000
Co 0.0000 0.0000 3.6175
Co 1.4959 1.4959 4.7346
Ru 1.4959 1.4959 2.2402
```

Summary:
Volume (Å³ per cell): 62
Formation energy (eV per atom): 0.279
Total energy (eV per cell): -111.42
M_tot (μB/f.u.): 4.2
Crystal system: tetragonal


9.
Here is a crystal of Ca5MgCu relaxed with PBEsol from the Alexandria database. Energies are from SCAN.

Cell and atoms, written as extended XYZ:
```
7
Lattice="5.0003 0.0000 0.0000 0.0000 5.0003 0.0000 0.0000 0.0000 8.9676" Properties=species:S:1:pos:R:3 pbc="T T T"
Ca 0.0000 0.0000 0.0000
Ca 0.0000 2.5002 2.7422
Ca 0.0000 2.5002 6.2253
Ca 2.5002 0.0000 2.7422
Ca 2.5002 0.0000 6.2253
Mg 2.5002 2.5002 0.0000
Cu 0.0000 0.0000 4.4838
```

Summary:
Volume (Å³ per cell): 224
Formation energy (eV per atom): 0.023
Total energy (eV per cell): -68.33
M_tot (μB/f.u.): 0.2
Crystal system: tetragonal


10.
Here is a crystal of RbGaAgAu2 relaxed with PBEsol from the Alexandria database. Energies are from SCAN.

Cell and atoms, written as extended XYZ:
```
5
Lattice="5.1573 0.0000 0.0000 0.0000 5.1573 0.0000 0.0000 0.0000 5.6136" Properties=species:S:1:pos:R:3 pbc="T T T"
Rb 0.0000 0.0000 0.0000
Ga 2.5787 2.5787 0.0000
Ag 0.0000 0.0000 2.8068
Au 0.0000 2.5787 2.8068
Au 2.5787 0.0000 2.8068
```

Summary:
Volume (Å³ per cell): 149
Formation energy (eV per atom): 0.483
Total energy (eV per cell): -204.35
M_tot (μB/f.u.): 0.0
Crystal system: tetragonal


11.
Here is a crystal of LiY2Cd relaxed with PBEsol from the Alexandria database. Energies are from SCAN.

Cell and atoms, written as extended XYZ:
```
4
Lattice="1.7295 0.9985 10.3282 -1.7295 0.9985 10.3282 0.0000 -1.9971 10.3282" Properties=species:S:1:pos:R:3 pbc="T T T"
Li 0.0000 0.0000 0.0000
Y 0.0000 0.0000 7.6330
Y 0.0000 0.0000 23.3517
Cd 0.0000 0.0000 15.4923
```

Summary:
Volume (Å³ per cell): 107
Polymorph energy (0 for the lowest one) (meV per atom): 231
Formation energy (eV per atom): -0.002
Total energy (eV per cell): -88.50
M_tot (μB/f.u.): 0.3
Crystal system: trigonal


12.
Here is a crystal of LiFePO4 relaxed with PBEsol from the Alexandria database. Energies are from SCAN.

Cell and atoms, written as extended XYZ:
```
56
Lattice="10.0008 0.0000 0.0000 0.0000 5.0195 0.0000 0.0000 0.0000 13.4214" Properties=species:S:1:pos:R:3 pbc="T T T"
Li 0.3239 0.3055 0.0000
Li 2.1272 2.7987 3.3181
Li 2.8732 2.7987 10.0287
Li 4.6765 0.3055 6.7107
Li 5.3243 4.7140 0.0000
Li 7.1276 2.2209 3.3181
Li 7.8736 2.2209 10.0287
Li 9.6769 4.7140 6.7107
Fe 0.3311 4.6461 10.0475
Fe 2.1751 2.7896 13.3623
Fe 2.8253 2.7896 6.6516
Fe 4.6693 4.6461 3.3368
Fe 5.3315 0.3734 10.0475
Fe 7.1755 2.2299 13.3623
Fe 7.8257 2.2299 6.6516
Fe 9.6697 0.3734 3.3368
P 0.3488 2.1857 8.3514
P 2.1712 0.3002 5.0181
P 2.8292 0.3002 11.7287
P 4.6516 2.1857 1.6407
P 5.3492 2.8338 8.3514
P 7.1716 4.7193 5.0181
P 7.8296 4.7193 11.7287
P 9.6520 2.8338 1.6407
O 0.1042 0.6531 8.3722
O 0.2840 2.2285 2.9209
O 0.3035 2.2354 0.3678
O 0.6394 0.0643 5.0434
O 1.8613 2.5263 8.3436
O 2.1791 4.7377 13.0104
O 2.2679 4.6222 10.4621
O 2.4876 1.8134 11.6751
O 2.5127 1.8134 4.9644
O 2.7325 4.6222 3.7514
O 2.8213 4.7377 6.2998
O 3.1391 2.5263 1.6329
O 4.3610 0.0643 11.7541
O 4.6969 2.2354 7.0784
O 4.7164 2.2285 9.6316
O 4.8962 0.6531 1.6616
O 5.1046 4.3664 8.3722
O 5.2844 2.7910 2.9209
O 5.3039 2.7841 0.3678
O 5.6398 4.9552 5.0434
O 6.8617 2.4932 8.3436
O 7.1795 0.2818 13.0104
O 7.2683 0.3973 10.4621
O 7.4880 3.2062 11.6751
O 7.5131 3.2062 4.9644
O 7.7329 0.3973 3.7514
O 7.8217 0.2818 6.2998
O 8.1395 2.4932 1.6329
O 9.3614 4.9552 11.7541
O 9.6973 2.7841 7.0784
O 9.7168 2.7910 9.6316
O 9.8966 4.3664 1.6616
```

Summary:
Volume (Å³ per cell): 674
Polymorph energy (0 for the lowest one) (meV per atom): 0
Total energy (eV per cell): -572.63
Uncorrected formation energy (eV/atom): -2.248
M_tot (μB/f.u.): 4.0
Crystal system: orthorhombic


13.
Here is a crystal of SiI4 relaxed with PBEsol from the Alexandria database. Energies are from SCAN.

Cell and atoms, written as extended XYZ:
```
40
Lattice="11.8815 0.0000 0.0000 0.0000 11.8815 0.0000 0.0000 0.0000 11.8815" Properties=species:S:1:pos:R:3 pbc="T T T"
Si 1.5618 1.5618 1.5618
Si 1.5618 4.3790 7.5025
Si 4.3790 7.5025 1.5618
Si 4.3790 10.3198 7.5025
Si 7.5025 1.5618 4.3790
Si 7.5025 4.3790 10.3198
Si 10.3198 7.5025 4.3790
Si 10.3198 10.3198 10.3198
I 0.0639 2.9612 6.1857
I 0.0639 2.9796 0.2449
I 0.2449 0.0639 2.9796
I 0.2449 5.8769 8.9203
I 2.9612 6.1857 0.0639
I 2.9612 11.6366 6.0046
I 2.9684 2.9684 2.9684
I 2.9684 2.9723 8.9092
I 2.9723 8.9092 2.9684
I 2.9723 8.9131 8.9092
I 2.9796 0.2449 0.0639
I 2.9796 5.6958 6.0046
I 5.6958 6.0046 2.9796
I 5.6958 11.8176 8.9203
I 5.8769 8.9019 6.1857
I 5.8769 8.9203 0.2449
I 6.0046 2.9612 11.6366
I 6.0046 2.9796 5.6958
I 6.1857 0.0639 2.9612
I 6.1857 5.8769 8.9019
I 8.9019 6.1857 5.8769
I 8.9019 11.6366 11.8176
I 8.9092 2.9684 2.9723
I 8.9092 2.9723 8.9131
I 8.9131 8.9092 2.9723
I 8.9131 8.9131 8.9131
I 8.9203 0.2449 5.8769
I 8.9203 5.6958 11.8176
I 11.6366 6.0046 2.9612
I 11.6366 11.8176 8.9019
I 11.8176 8.9019 11.6366
I 11.8176 8.9203 5.6958
```

Summary:
Volume (Å³ per cell): 1677
Total energy (eV per cell): -1270.03
Uncorrected formation energy (eV/atom): -0.354
M_tot (μB/f.u.): 0.0
Crystal system: cubic


14.
Here is a crystal of K2CoAs relaxed with PBEsol from the Alexandria database. Energies are from SCAN.

Cell and atoms, written as extended XYZ:
```
4
Lattice="0.0000 3.5317 3.5317 3.5317 0.0000 3.5317 3.5317 3.5317 0.0000" Properties=species:S:1:pos:R:3 pbc="T T T"
K 0.0000 0.0000 0.0000
K 1.7658 1.7658 1.7658
Co 3.5317 3.5317 3.5317
As 5.2975 5.2975 5.2975
```

Summary:
Volume (Å³ per cell): 88
Formation energy (eV per atom): 0.378
Total energy (eV per cell): -52.64
M_tot (μB/f.u.): 2.0
Crystal system: cubic


15.
Here is a crystal of SmB2C2 relaxed with PBEsol from the Alexandria database. Energies are from SCAN.

Cell and atoms, written as extended XYZ:
```
10
Lattice="5.3602 0.0000 0.0000 0.0000 5.3602 0.0000 0.0000 0.0000 3.6457" Properties=species:S:1:pos:R:3 pbc="T T T"
Sm 0.0000 0.0000 0.0000
Sm 2.6801 2.6801 0.0000
B 0.7336 1.9465 1.8228
B 1.9465 4.6266 1.8228
B 3.4136 0.7336 1.8228
B 4.6266 3.4136 1.8228
C 0.8663 3.5463 1.8228
C 1.8138 0.8663 1.8228
C 3.5463 4.4939 1.8228
C 4.4939 1.8138 1.8228
```

Summary:
Volume (Å³ per cell): 105
Formation energy (eV per atom): -0.539
Total energy (eV per cell): -164.39
M_tot (μB/f.u.): 0.0
Crystal system: tetragonal


16.
Here is a crystal of SrCaZn relaxed with PBEsol from the Alexandria database. Energies are from SCAN.

Cell and atoms, written as extended XYZ:
```
3
Lattice="-1.8857 1.8857 6.7251 1.8857 -1.8857 6.7251 1.8857 1.8857 -6.7251" Properties=species:S:1:pos:R:3 pbc="T T T"
Sr 0.0000 0.0000 0.0000
Ca 0.0000 0.0000 9.8488
Zn 0.0000 0.0000 4.7667
```

Summary:
Volume (Å³ per cell): 96
Polymorph energy (0 for the lowest one) (meV per atom): 0
Formation energy (eV per atom): -0.168
Total energy (eV per cell): -45.96
M_tot (μB/f.u.): 0.0
Crystal system: tetragonal


17.
Here is a crystal of Li2TaW relaxed with PBEsol from the Alexandria database. Energies are from SCAN.

Cell and atoms, written as extended XYZ:
```
4
Lattice="2.6559 0.0000 0.0000 0.0000 2.6559 0.0000 0.0000 0.0000 9.5014" Properties=species:S:1:pos:R:3 pbc="T T T"
Li 0.0000 0.0000 0.0000
Li 1.3280 1.3280 2.4743
Ta 0.0000 0.0000 4.9521
W 1.3280 1.3280 7.2646
```

Summary:
Volume (Å³ per cell): 67
Polymorph energy (0 for the lowest one) (meV per atom): 119
Formation energy (eV per atom): 0.372
Total energy (eV per cell): -139.56
M_tot (μB/f.u.): 0.1
Crystal system: tetragonal


18.
Here is a crystal of NdGa8Fe4 relaxed with PBEsol from the Alexandria database. Energies are from SCAN.

Cell and atoms, written as extended XYZ:
```
13
Lattice="-4.3209 4.3209 2.4931 4.3209 -4.3209 2.4931 4.3209 4.3209 -2.4931" Properties=species:S:1:pos:R:3 pbc="T T T"
Nd 0.0000 0.0000 0.0000
Ga 2.9512 0.0000 0.0000
Ga 5.6906 0.0000 0.0000
Ga 4.3209 2.3781 0.0000
Ga 0.0000 2.9512 0.0000
Ga 2.3781 4.3209 0.0000
Ga 1.9428 0.0000 2.4931
Ga 0.0000 5.6906 0.0000
Ga 0.0000 1.9428 2.4931
Fe 2.1604 2.1604 -1.2465
Fe 2.1604 -2.1604 1.2465
Fe -2.1604 2.1604 1.2465
Fe 2.1604 2.1604 1.2465
```

Summary:
Volume (Å³ per cell): 186
Formation energy (eV per atom): -0.296
Total energy (eV per cell): -250.72
M_tot (μB/f.u.): 7.2
Crystal system: tetragonal


19.
Here is a crystal of BeP2Rh relaxed with PBEsol from the Alexandria database. Energies are from SCAN.

Cell and atoms, written as extended XYZ:
```
4
Lattice="0.0000 2.8959 2.8959 2.8959 0.0000 2.8959 2.8959 2.8959 0.0000" Properties=species:S:1:pos:R:3 pbc="T T T"
Be 0.0000 0.0000 0.0000
P 1.4480 1.4480 1.4480
P 2.8959 2.8959 2.8959
Rh 4.3439 4.3439 4.3439
```

Summary:
Volume (Å³ per cell): 49
Formation energy (eV per atom): 0.337
Total energy (eV per cell): -57.57
M_tot (μB/f.u.): 0.0
Crystal system: cubic


20.
Here is a crystal of Ag2TeAs relaxed with PBEsol from the Alexandria database. Energies are from SCAN.

Cell and atoms, written as extended XYZ:
```
4
Lattice="2.0232 1.1681 5.9444 -2.0232 1.1681 5.9444 0.0000 -2.3362 5.9444" Properties=species:S:1:pos:R:3 pbc="T T T"
Ag 0.0000 0.0000 4.2812
Ag 0.0000 0.0000 13.5521
Te 0.0000 0.0000 0.0000
As 0.0000 0.0000 8.9166
```

Summary:
Volume (Å³ per cell): 84
Polymorph energy (0 for the lowest one) (meV per atom): 16
Total energy (eV per cell): -119.55
Uncorrected formation energy (eV/atom): 0.157
M_tot (μB/f.u.): 0.0
Crystal system: trigonal